#w
Compound: Li2RuAu
Source: Alexandria
Functional: meta-GGA SCAN
Structure: single point on PBEsol structure

a = 2.5800 Å, b = 4.2783 Å, c = 5.2045 Å
α = 90.00°, β = 90.00°, γ = 90.00°
Space group Pmm2 (No. 25)
Inequivalent atoms, fractional coordinates:
Li  0.0000  0.0000  0.0000 x1
Li  0.5000  0.5000  0.2458 x1
Ru  0.0000  0.0000  0.5074 x1
Au  0.5000  0.5000  0.7358 x1

## Properties
total magnetic moment	0.00	Bohr magnetons per cell

#x
Compound: Li2RuAu
Source: Alexandria
Functional: meta-GGA SCAN
Structure: single point on PBEsol structure

a = 3.7566 Å, b = 3.7566 Å, c = 7.7633 Å
α = 90.00°, β = 90.00°, γ = 90.00°
Space group I-4m2 (No. 119)
Inequivalent atoms, fractional coordinates:
Li  0.0000  0.0000  0.0000 x2
Li  0.0000  0.5000  0.2500 x2
Ru  0.0000  0.5000  0.7500 x2
Au  0.0000  0.0000  0.5000 x2

## Properties
total magnetic moment	3.61	Bohr magnetons per cell

Most stable of them? #w.

#w
Compound: LiSbAu
Source: Alexandria
Functional: meta-GGA SCAN
Structure: single point on PBEsol structure

a = 6.2829 Å, b = 6.2829 Å, c = 6.2829 Å
α = 90.00°, β = 90.00°, γ = 90.00°
Space group F-43m (No. 216)
Inequivalent atoms, fractional coordinates:
Li  0.0000  0.0000  0.0000 x4
Sb  0.0000  0.0000  0.5000 x4
Au  0.2500  0.2500  0.2500 x4

## Properties
total magnetic moment	0.00	Bohr magnetons per cell

#x
Compound: LiSbAu
Source: Alexandria
Functional: meta-GGA SCAN
Structure: single point on PBEsol structure

a = 4.6303 Å, b = 4.6303 Å, c = 3.2434 Å
α = 90.00°, β = 90.00°, γ = 120.00°
Space group P-6m2 (No. 187)
Inequivalent atoms, fractional coordinates:
Li  0.0000  0.0000  0.0000 x1
Sb  0.6667  0.3333  0.5000 x1
Au  0.3333  0.6667  0.5000 x1

## Properties
total magnetic moment	0.00	Bohr magnetons per cell

Most stable of them? #w.

#w
Compound: LiSb2Au
Source: Alexandria
Functional: meta-GGA SCAN
Structure: single point on PBEsol structure

a = 3.1915 Å, b = 4.3475 Å, c = 6.4761 Å
α = 90.00°, β = 90.00°, γ = 90.00°
Space group Pmmm (No. 47)
Inequivalent atoms, fractional coordinates:
Li  0.0000  0.0000  0.0000 x1
Sb  0.5000  0.5000  0.2391 x2
Au  0.5000  0.0000  0.5000 x1

## Properties
total magnetic moment	0.00	Bohr magnetons per cell

#x
Compound: LiSb2Au
Source: Alexandria
Functional: meta-GGA SCAN
Structure: single point on PBEsol structure

a = 4.5249 Å, b = 4.5249 Å, c = 4.0612 Å
α = 90.00°, β = 90.00°, γ = 90.00°
Space group P4/mmm (No. 123)
Inequivalent atoms, fractional coordinates:
Li  0.0000  0.0000  0.0000 x1
Sb  0.0000  0.5000  0.5000 x2
Au  0.5000  0.5000  0.0000 x1

## Properties
total magnetic moment	0.00	Bohr magnetons per cell

#y
Compound: LiSb2Au
Source: Alexandria
Functional: meta-GGA SCAN
Structure: single point on PBEsol structure

a = 3.2172 Å, b = 3.2172 Å, c = 8.1381 Å
α = 90.00°, β = 90.00°, γ = 90.00°
Space group P4/mmm (No. 123)
Inequivalent atoms, fractional coordinates:
Li  0.0000  0.0000  0.0000 x1
Sb  0.5000  0.5000  0.2477 x2
Au  0.0000  0.0000  0.5000 x1

## Properties
total magnetic moment	0.00	Bohr magnetons per cell

Most stable of them? #w.

#w
Compound: LiSb2Au
Source: Alexandria
Functional: meta-GGA SCAN
Structure: single point on PBEsol structure

a = 7.0613 Å, b = 7.0613 Å, c = 7.0613 Å
α = 90.00°, β = 90.00°, γ = 90.00°
Space group F-43m (No. 216)
Inequivalent atoms, fractional coordinates:
Li  0.0000  0.0000  0.0000 x4
Sb  0.0000  0.0000  0.5000 x4
Sb  0.2500  0.2500  0.2500 x4
Au  0.2500  0.2500  0.7500 x4

## Properties
total magnetic moment	0.00	Bohr magnetons per cell

#x
Compound: LiSb2Au
Source: Alexandria
Functional: meta-GGA SCAN
Structure: single point on PBEsol structure

a = 4.0441 Å, b = 4.8227 Å, c = 8.9472 Å
α = 90.00°, β = 90.00°, γ = 90.00°
Space group Immm (No. 71)
Inequivalent atoms, fractional coordinates:
Li  0.0000  0.0000  0.0000 x2
Sb  0.0000  0.5000  0.2249 x4
Au  0.0000  0.0000  0.5000 x2

## Properties
total magnetic moment	0.00	Bohr magnetons per cell

Most stable of them? #x.

#w
Compound: LiSc2Au
Source: Alexandria
Functional: meta-GGA SCAN
Structure: single point on PBEsol structure

a = 4.6472 Å, b = 4.6472 Å, c = 3.4708 Å
α = 90.00°, β = 90.00°, γ = 90.00°
Space group P4/mmm (No. 123)
Inequivalent atoms, fractional coordinates:
Li  0.0000  0.0000  0.0000 x1
Sc  0.0000  0.5000  0.5000 x2
Au  0.5000  0.5000  0.0000 x1

## Properties
total magnetic moment	0.31	Bohr magnetons per cell

#x
Compound: LiSc2Au
Source: Alexandria
Functional: meta-GGA SCAN
Structure: single point on PBEsol structure

a = 4.5300 Å, b = 3.2721 Å, c = 10.4375 Å
α = 90.00°, β = 90.00°, γ = 90.00°
Space group Amm2 (No. 38)
Inequivalent atoms, fractional coordinates:
Li  0.0000  0.0000  0.0000 x2
Sc  0.0000  0.0000  0.2760 x2
Sc  0.5000  0.0000  0.5783 x2
Au  0.5000  0.0000  0.8570 x2

## Properties
total magnetic moment	0.00	Bohr magnetons per cell

Most stable of them? #w.

#w
Compound: Sr2LiAu
Source: Alexandria
Functional: meta-GGA SCAN
Structure: single point on PBEsol structure

a = 4.5346 Å, b = 4.5621 Å, c = 11.8968 Å
α = 90.00°, β = 90.00°, γ = 90.00°
Space group Amm2 (No. 38)
Inequivalent atoms, fractional coordinates:
Sr  0.0000  0.0000  0.0000 x2
Sr  0.5000  0.0000  0.2847 x2
Li  0.0000  0.0000  0.6926 x2
Au  0.5000  0.0000  0.5772 x2

## Properties
total magnetic moment	0.10	Bohr magnetons per cell

#x
Compound: Sr2LiAu
Source: Alexandria
Functional: meta-GGA SCAN
Structure: single point on PBEsol structure

a = 3.8547 Å, b = 3.8547 Å, c = 8.3345 Å
α = 90.00°, β = 90.00°, γ = 90.00°
Space group P4/mmm (No. 123)
Inequivalent atoms, fractional coordinates:
Sr  0.0000  0.0000  0.2135 x2
Li  0.5000  0.5000  0.5000 x1
Au  0.5000  0.5000  0.0000 x1

## Properties
total magnetic moment	0.02	Bohr magnetons per cell

#y
Compound: Sr2LiAu
Source: Alexandria
Functional: meta-GGA SCAN
Structure: single point on PBEsol structure

a = 7.7244 Å, b = 7.7244 Å, c = 7.7244 Å
α = 90.00°, β = 90.00°, γ = 90.00°
Space group Fm-3m (No. 225)
Inequivalent atoms, fractional coordinates:
Sr  0.2500  0.2500  0.2500 x8
Li  0.0000  0.0000  0.0000 x4
Au  0.0000  0.0000  0.5000 x4

## Properties
total magnetic moment	0.13	Bohr magnetons per cell

Most stable of them? #w.

#w
Compound: SrLiAu2
Source: Alexandria
Functional: meta-GGA SCAN
Structure: single point on PBEsol structure

a = 3.5337 Å, b = 3.5337 Å, c = 6.7375 Å
α = 90.00°, β = 90.00°, γ = 90.00°
Space group P4/mmm (No. 123)
Inequivalent atoms, fractional coordinates:
Sr  0.0000  0.0000  0.0000 x1
Li  0.0000  0.0000  0.5000 x1
Au  0.5000  0.5000  0.2965 x2

## Properties
total magnetic moment	0.00	Bohr magnetons per cell

#x
Compound: SrLiAu2
Source: Alexandria
Functional: meta-GGA SCAN
Structure: single point on PBEsol structure

a = 3.6237 Å, b = 3.7784 Å, c = 6.4247 Å
α = 90.00°, β = 90.00°, γ = 90.00°
Space group Pmm2 (No. 25)
Inequivalent atoms, fractional coordinates:
Sr  0.0000  0.0000  0.0000 x1
Li  0.5000  0.5000  0.3665 x1
Au  0.0000  0.0000  0.4997 x1
Au  0.5000  0.5000  0.7505 x1

## Properties
total magnetic moment	0.00	Bohr magnetons per cell

#y
Compound: SrLiAu2
Source: Alexandria
Functional: meta-GGA SCAN
Structure: single point on PBEsol structure

a = 4.6192 Å, b = 5.4784 Å, c = 7.1698 Å
α = 90.00°, β = 90.00°, γ = 90.00°
Space group Immm (No. 71)
Inequivalent atoms, fractional coordinates:
Sr  0.0000  0.0000  0.0000 x2
Li  0.0000  0.0000  0.5000 x2
Au  0.0000  0.5000  0.2028 x4

## Properties
total magnetic moment	0.00	Bohr magnetons per cell

Most stable of them? #w.

#w
Compound: LiTa2Au
Source: Alexandria
Functional: meta-GGA SCAN
Structure: single point on PBEsol structure

a = 2.8388 Å, b = 2.8388 Å, c = 30.0309 Å
α = 90.00°, β = 90.00°, γ = 120.00°
Space group R-3m (No. 166, hexagonal axes)
Inequivalent atoms, fractional coordinates:
Li  0.0000  0.0000  0.0000 x3
Ta  0.0000  0.0000  0.2466 x6
Au  0.0000  0.0000  0.5000 x3

## Properties
total magnetic moment	0.00	Bohr magnetons per cell

#x
Compound: LiTa2Au
Source: Alexandria
Functional: meta-GGA SCAN
Structure: single point on PBEsol structure

a = 3.8271 Å, b = 3.8271 Å, c = 8.7338 Å
α = 90.00°, β = 90.00°, γ = 90.00°
Space group I4/mmm (No. 139)
Inequivalent atoms, fractional coordinates:
Li  0.0000  0.0000  0.0000 x2
Ta  0.0000  0.5000  0.2500 x4
Au  0.0000  0.0000  0.5000 x2

## Properties
total magnetic moment	0.00	Bohr magnetons per cell

Most stable of them? #x.

#w
Compound: LiTaAu
Source: Alexandria
Functional: meta-GGA SCAN
Structure: single point on PBEsol structure

a = 3.2090 Å, b = 4.4040 Å, c = 14.1097 Å
α = 90.00°, β = 90.00°, γ = 90.00°
Space group Fmm2 (No. 42)
Inequivalent atoms, fractional coordinates:
Li  0.0000  0.0000  0.0000 x4
Ta  0.0000  0.0000  0.6799 x4
Au  0.0000  0.0000  0.3465 x4

## Properties
total magnetic moment	0.00	Bohr magnetons per cell

#x
Compound: LiTaAu
Source: Alexandria
Functional: meta-GGA SCAN
Structure: single point on PBEsol structure

a = 2.7168 Å, b = 4.2477 Å, c = 8.1662 Å
α = 90.00°, β = 90.00°, γ = 90.00°
Space group Imm2 (No. 44)
Inequivalent atoms, fractional coordinates:
Li  0.0000  0.0000  0.0000 x2
Ta  0.0000  0.0000  0.6744 x2
Au  0.0000  0.0000  0.3388 x2

## Properties
total magnetic moment	0.00	Bohr magnetons per cell

Most stable of them? #x.

#w
Compound: LiTcAu
Source: Alexandria
Functional: meta-GGA SCAN
Structure: single point on PBEsol structure

a = 2.7144 Å, b = 2.7144 Å, c = 7.0072 Å
α = 90.00°, β = 90.00°, γ = 120.00°
Space group P3m1 (No. 156)
Inequivalent atoms, fractional coordinates:
Li  0.0000  0.0000  0.0000 x1
Tc  0.3333  0.6667  0.6647 x1
Au  0.6667  0.3333  0.3226 x1

## Properties
total magnetic moment	0.00	Bohr magnetons per cell

#x
Compound: LiTcAu
Source: Alexandria
Functional: meta-GGA SCAN
Structure: single point on PBEsol structure

a = 2.5926 Å, b = 4.0719 Å, c = 8.1712 Å
α = 90.00°, β = 90.00°, γ = 90.00°
Space group Imm2 (No. 44)
Inequivalent atoms, fractional coordinates:
Li  0.0000  0.0000  0.0000 x2
Tc  0.0000  0.0000  0.6695 x2
Au  0.0000  0.0000  0.3384 x2

## Properties
total magnetic moment	0.00	Bohr magnetons per cell

Most stable of them? #w.

#w
Compound: Li2Te2Au
Source: Alexandria
Functional: meta-GGA SCAN
Structure: single point on PBEsol structure

a = 7.9686 Å, b = 7.9686 Å, c = 3.2083 Å
α = 90.00°, β = 90.00°, γ = 90.00°
Space group P4/mbm (No. 127)
Inequivalent atoms, fractional coordinates:
Li  0.1234  0.3766  0.0000 x4
Te  0.1819  0.6819  0.5000 x4
Au  0.0000  0.0000  0.0000 x2

## Properties
total magnetic moment	0.00	Bohr magnetons per cell

#x
Compound: Li2Te2Au
Source: Alexandria
Functional: meta-GGA SCAN
Structure: single point on PBEsol structure

a = 7.4774 Å, b = 7.4774 Å, c = 4.1890 Å
α = 90.00°, β = 90.00°, γ = 90.00°
Space group P4/mbm (No. 127)
Inequivalent atoms, fractional coordinates:
Li  0.1411  0.3589  0.0000 x4
Te  0.1724  0.6724  0.5000 x4
Au  0.0000  0.0000  0.5000 x2

## Properties
total magnetic moment	0.00	Bohr magnetons per cell

Most stable of them? #x.

#w
Compound: LiW2Au
Source: Alexandria
Functional: meta-GGA SCAN
Structure: single point on PBEsol structure

a = 3.6786 Å, b = 3.6786 Å, c = 8.7688 Å
α = 90.00°, β = 90.00°, γ = 90.00°
Space group I4/mmm (No. 139)
Inequivalent atoms, fractional coordinates:
Li  0.0000  0.0000  0.0000 x2
W  0.0000  0.5000  0.2500 x4
Au  0.0000  0.0000  0.5000 x2

## Properties
total magnetic moment	0.00	Bohr magnetons per cell

#x
Compound: LiW2Au
Source: Alexandria
Functional: meta-GGA SCAN
Structure: single point on PBEsol structure

a = 2.7464 Å, b = 2.7464 Å, c = 29.3242 Å
α = 90.00°, β = 90.00°, γ = 120.00°
Space group R-3m (No. 166, hexagonal axes)
Inequivalent atoms, fractional coordinates:
Li  0.0000  0.0000  0.0000 x3
W  0.0000  0.0000  0.2485 x6
Au  0.0000  0.0000  0.5000 x3

## Properties
total magnetic moment	0.00	Bohr magnetons per cell

Most stable of them? #w.